# 1
Material: Nd3DyPa2P6
Method: DFT, GGA-PBE
State: optimized geometry

For the formation energy, the calculation gives -1.49 eV/atom.

The structure belongs to space group C2/m (No. 12); the cell edges are 7.029, 12.175 and 7.066 Å and the angles 90.00°, 109.35° and 90.00°. The distinct sites, in fractional coordinates, are Nd at (0.000, 0.000, 0.000), Nd at (0.000, 0.335, 0.000), Dy at (0.000, 0.500, 0.500), Pa at (0.000, 0.167, 0.500), P at (0.240, 0.000, 0.734) and P at (0.247, 0.331, 0.734).

---

# 2
Material: NdDy2PaP4
Method: DFT, GGA-PBE
State: optimized geometry

For the formation energy, the calculation gives -1.52 eV/atom.

The structure belongs to space group P2/m (No. 10); the cell edges are 6.951, 4.036 and 6.996 Å and the angles 90.00°, 109.47° and 90.00°. The distinct sites, in fractional coordinates, are Nd at (0.000, 0.000, 0.000), Dy at (0.500, 0.000, 0.500), Dy at (0.500, 0.500, 0.000), Pa at (0.000, 0.500, 0.500), P at (0.249, 0.000, 0.742) and P at (0.253, 0.500, 0.261).

---

# 3
Material: Nd2DyPaP4
Method: DFT, GGA-PBE
State: optimized geometry

For the formation energy, the calculation gives -1.51 eV/atom.

The structure belongs to space group P2/m (No. 10); the cell edges are 7.021, 4.072 and 7.072 Å and the angles 90.00°, 109.40° and 90.00°. The distinct sites, in fractional coordinates, are Nd at (0.000, 0.000, 0.000), Nd at (0.500, 0.500, 0.000), Dy at (0.000, 0.500, 0.500), Pa at (0.500, 0.000, 0.500), P at (0.251, 0.000, 0.736) and P at (0.258, 0.500, 0.265).

---

# 4
Material: Nd3Dy2PaP6
Method: DFT, GGA-PBE
State: optimized geometry

For the formation energy, the calculation gives -1.55 eV/atom.

The structure belongs to space group C2/m (No. 12); the cell edges are 7.045, 12.203 and 7.076 Å and the angles 90.00°, 109.34° and 90.00°. The distinct sites, in fractional coordinates, are Nd at (0.000, 0.000, 0.000), Nd at (0.000, 0.332, 0.000), Dy at (0.000, 0.166, 0.500), Pa at (0.000, 0.500, 0.500), P at (0.242, 0.336, 0.737) and P at (0.248, 0.500, 0.264).

---

# 5
Material: Pr2NdDyP4
Method: DFT, GGA-PBE
State: optimized geometry

For the formation energy, the calculation gives -1.54 eV/atom.

The structure belongs to space group P2/m (No. 10); the cell edges are 7.180, 4.150 and 7.181 Å and the angles 90.00°, 109.45° and 90.00°. The distinct sites, in fractional coordinates, are Pr at (0.000, 0.000, 0.000), Pr at (0.000, 0.500, 0.500), Nd at (0.500, 0.000, 0.500), Dy at (0.500, 0.500, 0.000), P at (0.255, 0.500, 0.247) and P at (0.258, 0.000, 0.757).

---

# 6
Material: PrNdDy2P4
Method: DFT, GGA-PBE
State: optimized geometry

For the formation energy, the calculation gives -1.56 eV/atom.

The structure belongs to space group P2/m (No. 10); the cell edges are 7.093, 4.100 and 7.097 Å and the angles 90.00°, 109.47° and 90.00°. The distinct sites, in fractional coordinates, are Pr at (0.000, 0.000, 0.000), Nd at (0.000, 0.500, 0.500), Dy at (0.500, 0.000, 0.500), Dy at (0.500, 0.500, 0.000), P at (0.260, 0.000, 0.753) and P at (0.261, 0.500, 0.255).

---

# 7
Material: PrNd2DyP4
Method: DFT, GGA-PBE
State: optimized geometry

For the formation energy, the calculation gives -1.54 eV/atom.

The structure belongs to space group P2/m (No. 10); the cell edges are 7.165, 4.141 and 7.165 Å and the angles 90.00°, 109.45° and 90.00°. The distinct sites, in fractional coordinates, are Pr at (0.000, 0.000, 0.000), Nd at (0.500, 0.000, 0.500), Nd at (0.500, 0.500, 0.000), Dy at (0.000, 0.500, 0.500), P at (0.244, 0.000, 0.743) and P at (0.248, 0.500, 0.255).

---

# 8
Material: NdDyPu2P4
Method: DFT, GGA-PBE
State: optimized geometry

For the formation energy, the calculation gives -1.33 eV/atom.

The structure belongs to space group P2/m (No. 10); the cell edges are 6.978, 4.045 and 6.987 Å and the angles 90.00°, 109.64° and 90.00°. The distinct sites, in fractional coordinates, are Nd at (0.000, 0.000, 0.000), Dy at (0.000, 0.500, 0.500), Pu at (0.500, 0.000, 0.500), Pu at (0.500, 0.500, 0.000), P at (0.258, 0.000, 0.749) and P at (0.262, 0.500, 0.260).

---

# 9
Material: NdDy2PuP4
Method: DFT, GGA-PBE
State: optimized geometry

For the formation energy, the calculation gives -1.46 eV/atom.

The structure belongs to space group P2/m (No. 10); the cell edges are 6.990, 4.052 and 7.001 Å and the angles 90.00°, 109.51° and 90.00°. The distinct sites, in fractional coordinates, are Nd at (0.000, 0.000, 0.000), Dy at (0.500, 0.000, 0.500), Dy at (0.500, 0.500, 0.000), Pu at (0.000, 0.500, 0.500), P at (0.250, 0.000, 0.743) and P at (0.255, 0.500, 0.258).

---

# 10
Material: Nd2DyP3Rh12
Method: DFT, GGA-PBE
State: optimized geometry

For the formation energy, the calculation gives -0.34 eV/atom.

The structure belongs to space group R-3m (No. 166, hexagonal axes); the cell edges are 9.0381, 9.0381 and 12.8879 Å and the angles 90.00°, 90.00° and 120.00°. The distinct sites, in fractional coordinates, are Nd at (0.0000, 0.0000, 0.1269), Dy at (0.0000, 0.0000, 0.5000), P at (0.0000, 0.5000, 0.0000), Rh at (0.0081, 0.5040, 0.8269) and Rh at (0.0307, 0.5153, 0.3807).

---

# 11
Material: NdDyP2Rh5
Method: DFT, GGA-PBE
State: optimized geometry

For the formation energy, the calculation gives -0.76 eV/atom.

The structure belongs to space group P4/mmm (No. 123); the cell edges are 4.063, 4.063 and 10.683 Å and the angles 90.00°, 90.00° and 90.00°. The distinct sites, in fractional coordinates, are Nd at (0.000, 0.000, 0.000), Dy at (0.000, 0.000, 0.500), P at (0.500, 0.500, 0.213), Rh at (0.000, 0.500, 0.305) and Rh at (0.500, 0.500, 0.000).

---

# 12
Material: NdDy2Sc3P6
Method: DFT, GGA-PBE
State: optimized geometry

For the formation energy, the calculation gives -1.51 eV/atom.

The structure belongs to space group C2/m (No. 12); the cell edges are 6.787, 11.755 and 6.756 Å and the angles 90.00°, 109.56° and 90.00°. The distinct sites, in fractional coordinates, are Nd at (0.000, 0.000, 0.000), Dy at (0.000, 0.333, 0.000), Sc at (0.000, 0.166, 0.500), Sc at (0.000, 0.500, 0.500), P at (0.241, 0.331, 0.731) and P at (0.249, 0.000, 0.732).

---

# 13
Material: NdDy2ScP4
Method: DFT, GGA-PBE
State: optimized geometry

For the formation energy, the calculation gives -1.52 eV/atom.

The structure belongs to space group P2/m (No. 10); the cell edges are 6.907, 3.998 and 6.917 Å and the angles 90.00°, 109.46° and 90.00°. The distinct sites, in fractional coordinates, are Nd at (0.000, 0.000, 0.000), Dy at (0.000, 0.500, 0.500), Dy at (0.500, 0.000, 0.500), Sc at (0.500, 0.500, 0.000), P at (0.261, 0.500, 0.252) and P at (0.263, 0.000, 0.756).

---

# 14
Material: NdDyPSe
Method: DFT, GGA-PBE
State: optimized geometry

Its formation energy from raw total energies is -1.723 eV/atom.

The structure belongs to space group R3m (No. 160, hexagonal axes); the cell edges are 4.0394, 4.0394 and 21.3115 Å and the angles 90.00°, 90.00° and 120.00°. The distinct sites, in fractional coordinates, are Nd at (0.0000, 0.0000, 0.0000), Dy at (0.0000, 0.0000, 0.8160), P at (0.0000, 0.0000, 0.4128) and Se at (0.0000, 0.0000, 0.2369).

---

# 15
Material: Nd3SmDy2P6
Method: DFT, GGA-PBE
State: optimized geometry

For the formation energy, the calculation gives -1.56 eV/atom.

The structure belongs to space group C2/m (No. 12); the cell edges are 7.110, 12.314 and 7.109 Å and the angles 90.00°, 109.45° and 90.00°. The distinct sites, in fractional coordinates, are Nd at (0.000, 0.000, 0.000), Nd at (0.000, 0.334, 0.000), Sm at (0.000, 0.500, 0.500), Dy at (0.000, 0.167, 0.500), P at (0.244, 0.000, 0.742) and P at (0.249, 0.332, 0.743).

---

# 16
Material: NdSm2Dy3P6
Method: DFT, GGA-PBE
State: optimized geometry

For the formation energy, the calculation gives -1.58 eV/atom.

The structure belongs to space group C2/m (No. 12); the cell edges are 7.046, 12.203 and 7.045 Å and the angles 90.00°, 109.45° and 90.00°. The distinct sites, in fractional coordinates, are Nd at (0.000, 0.000, 0.000), Sm at (0.000, 0.333, 0.000), Dy at (0.000, 0.166, 0.500), Dy at (0.000, 0.500, 0.500), P at (0.247, 0.332, 0.743) and P at (0.249, 0.000, 0.743).

---

# 17
Material: NdSm3Dy2P6
Method: DFT, GGA-PBE
State: optimized geometry

For the formation energy, the calculation gives -1.57 eV/atom.

The structure belongs to space group C2/m (No. 12); the cell edges are 7.076, 12.254 and 7.076 Å and the angles 90.00°, 109.46° and 90.00°. The distinct sites, in fractional coordinates, are Nd at (0.000, 0.000, 0.000), Sm at (0.000, 0.166, 0.500), Sm at (0.000, 0.500, 0.500), Dy at (0.000, 0.333, 0.000), P at (0.244, 0.500, 0.247) and P at (0.248, 0.331, 0.753).

---

# 18
Material: NdSm2DyP4
Method: DFT, GGA-PBE
State: optimized geometry

For the formation energy, the calculation gives -1.57 eV/atom.

The structure belongs to space group P2/m (No. 10); the cell edges are 7.096, 4.101 and 7.097 Å and the angles 90.00°, 109.45° and 90.00°. The distinct sites, in fractional coordinates, are Nd at (0.000, 0.000, 0.000), Sm at (0.000, 0.500, 0.500), Sm at (0.500, 0.000, 0.500), Dy at (0.500, 0.500, 0.000), P at (0.254, 0.500, 0.250) and P at (0.255, 0.000, 0.753).

---

# 19
Material: Nd2Sm3DyP6
Method: DFT, GGA-PBE
State: optimized geometry

For the formation energy, the calculation gives -1.56 eV/atom.

The structure belongs to space group C2/m (No. 12); the cell edges are 17.919, 4.114 and 8.223 Å and the angles 90.00°, 103.28° and 90.00°. The distinct sites, in fractional coordinates, are Nd at (0.166, 0.000, 0.332), Sm at (0.000, 0.500, 0.500), Sm at (0.167, 0.000, 0.834), Dy at (0.000, 0.500, 0.000), P at (0.001, 0.000, 0.755), P at (0.165, 0.500, 0.080) and P at (0.166, 0.500, 0.585).

---

# 20
Material: Nd2SmDy3P6
Method: DFT, GGA-PBE
State: optimized geometry

For the formation energy, the calculation gives -1.58 eV/atom.

The structure belongs to space group C2/m (No. 12); the cell edges are 7.064, 12.234 and 7.062 Å and the angles 90.00°, 109.46° and 90.00°. The distinct sites, in fractional coordinates, are Nd at (0.000, 0.167, 0.000), Sm at (0.000, 0.500, 0.000), Dy at (0.000, 0.000, 0.500), Dy at (0.000, 0.333, 0.500), P at (0.245, 0.500, 0.741) and P at (0.248, 0.166, 0.742).